Entry 1:
Crystalline LiZn2In at its relaxed geometry. Source: Alexandria, functional PBE-GGA. Values from VASP.

Geometry as Quantum ESPRESSO input:
```
&SYSTEM
  ibrav = 0, nat = 4, ntyp = 3
/
ATOMIC_SPECIES
In 114.82 In.upf
Li 6.94 Li.upf
Zn 65.41 Zn.upf
ATOMIC_POSITIONS crystal
In 0.500 0.500 0.493
Li 0.255 0.255 0.232
Zn 0.000 0.000 0.997
Zn 0.745 0.745 0.778
CELL_PARAMETERS angstrom
4.851 0.036 -0.049
3.863 2.936 -0.049
0.839 0.286 5.067
```

For the total energy, the calculation gives -7.45 eV/f.u. The energy relative to the elements is -0.0614 eV per atom.

***

Entry 2:
Crystalline LiZn2In at its relaxed geometry. Source: Alexandria, functional PBE-GGA. Values from VASP.

Geometry as Quantum ESPRESSO input:
```
&SYSTEM
  ibrav = 0, nat = 8, ntyp = 3
/
ATOMIC_SPECIES
Zn 65.41 Zn.upf
Li 6.94 Li.upf
In 114.82 In.upf
ATOMIC_POSITIONS crystal
Zn 0.611 0.125 0.250
Zn 0.139 0.625 0.250
Zn 0.375 0.389 0.750
Zn 0.875 0.861 0.750
Li 0.500 0.500 0.000
Li 0.250 0.750 0.500
In 0.000 0.000 0.000
In 0.750 0.250 0.500
CELL_PARAMETERS angstrom
-3.401 -6.766 -0.482
6.741 -3.431 0.599
1.398 -5.156 2.788
```

For the total energy, the calculation gives -6.86 eV/f.u. The energy relative to the elements is 0.0842 eV per atom.

***

Entry 3:
Crystalline Li2ZnIn5 at its relaxed geometry. Source: Alexandria, functional PBE-GGA. Values from VASP.

Geometry as Quantum ESPRESSO input:
```
&SYSTEM
  ibrav = 0, nat = 16, ntyp = 3
/
ATOMIC_SPECIES
Li 6.94 Li.upf
Zn 65.41 Zn.upf
In 114.82 In.upf
ATOMIC_POSITIONS crystal
Li 0.500 0.278 0.369
Li 0.500 0.722 0.631
Li 0.500 0.222 0.869
Li 0.500 0.778 0.131
Zn 0.000 0.000 0.500
Zn 0.000 0.500 0.000
In 0.500 0.285 0.112
In 0.500 0.715 0.888
In 0.500 0.785 0.388
In 0.500 0.215 0.612
In 0.000 0.973 0.742
In 0.000 0.027 0.258
In 0.000 0.473 0.758
In 0.000 0.527 0.242
In 0.000 0.500 0.500
In 0.000 0.000 0.000
CELL_PARAMETERS angstrom
4.519 0.000 0.000
0.000 6.260 0.000
0.000 0.000 12.449
```

For the total energy, the calculation gives -19.80 eV/f.u. The energy relative to the elements is -0.1257 eV per atom.

***

Entry 4:
Crystalline Li14ZnIn at its relaxed geometry. Source: Alexandria, functional PBE-GGA. Values from VASP.

Geometry as Quantum ESPRESSO input:
```
&SYSTEM
  ibrav = 0, nat = 16, ntyp = 3
/
ATOMIC_SPECIES
Li 6.94 Li.upf
Zn 65.41 Zn.upf
In 114.82 In.upf
ATOMIC_POSITIONS crystal
Li 0.875 0.875 0.000
Li 0.375 0.375 0.000
Li 0.875 0.375 0.500
Li 0.875 0.375 0.000
Li 0.375 0.875 0.500
Li 0.375 0.875 0.000
Li 0.619 0.131 0.264
Li 0.619 0.131 0.736
Li 0.131 0.619 0.264
Li 0.131 0.619 0.736
Li 0.619 0.619 0.264
Li 0.619 0.619 0.736
Li 0.131 0.131 0.264
Li 0.131 0.131 0.736
Zn 0.375 0.375 0.500
In 0.875 0.875 0.500
CELL_PARAMETERS angstrom
6.624 -0.014 0.000
0.014 6.624 0.000
0.000 0.000 6.812
```

For the total energy, the calculation gives -31.94 eV/f.u. The energy relative to the elements is -0.0711 eV per atom.

***

Entry 5:
Crystalline LiZnIn3 at its relaxed geometry. Source: Alexandria, functional PBE-GGA. Values from VASP.

Geometry as Quantum ESPRESSO input:
```
&SYSTEM
  ibrav = 0, nat = 5, ntyp = 3
/
ATOMIC_SPECIES
Zn 65.41 Zn.upf
Li 6.94 Li.upf
In 114.82 In.upf
ATOMIC_POSITIONS crystal
Zn 0.000 0.000 0.000
Li 0.500 0.500 0.500
In 0.000 0.500 0.000
In 0.000 0.000 0.500
In 0.500 0.000 0.000
CELL_PARAMETERS angstrom
5.263 0.000 0.000
0.000 5.263 0.000
0.000 0.000 5.263
```

For the total energy, the calculation gives -10.35 eV/f.u. The energy relative to the elements is 0.2105 eV per atom. The energy above the most stable polymorph in this dataset is 0.249 eV per atom.

***

Entry 6:
Crystalline LiZnIn3 at its relaxed geometry. Source: Alexandria, functional PBE-GGA. Values from VASP.

Geometry as Quantum ESPRESSO input:
```
&SYSTEM
  ibrav = 0, nat = 10, ntyp = 3
/
ATOMIC_SPECIES
Li 6.94 Li.upf
Zn 65.41 Zn.upf
In 114.82 In.upf
ATOMIC_POSITIONS crystal
Li 0.750 0.250 0.296
Li 0.250 0.750 0.704
Zn 0.750 0.750 0.436
Zn 0.250 0.250 0.564
In 0.750 0.750 0.027
In 0.250 0.250 0.973
In 0.750 0.036 0.705
In 0.750 0.464 0.705
In 0.250 0.964 0.295
In 0.250 0.536 0.295
CELL_PARAMETERS angstrom
4.411 -0.002 0.000
0.003 7.428 0.000
0.000 0.000 7.049
```

For the total energy, the calculation gives -11.60 eV/f.u. The energy relative to the elements is -0.0387 eV per atom. The energy above the most stable polymorph in this dataset is 0.000 eV per atom.

***

Entry 7:
Crystalline Li2Zn16In at its relaxed geometry. Source: Alexandria, functional PBE-GGA. Values from VASP.

Geometry as Quantum ESPRESSO input:
```
&SYSTEM
  ibrav = 0, nat = 19, ntyp = 3
/
ATOMIC_SPECIES
Li 6.94 Li.upf
Zn 65.41 Zn.upf
In 114.82 In.upf
ATOMIC_POSITIONS crystal
Li 0.642 0.642 0.642
Li 0.339 0.339 0.339
Zn 0.682 0.999 0.321
Zn 0.999 0.321 0.682
Zn 0.321 0.682 0.999
Zn 0.999 0.682 0.321
Zn 0.682 0.321 0.999
Zn 0.321 0.999 0.682
Zn 0.344 0.839 0.344
Zn 0.839 0.344 0.344
Zn 0.344 0.344 0.839
Zn 0.648 0.177 0.648
Zn 0.177 0.648 0.648
Zn 0.648 0.648 0.177
Zn 0.006 0.491 0.006
Zn 0.491 0.006 0.006
Zn 0.006 0.006 0.491
Zn 0.113 0.113 0.113
In 0.898 0.898 0.898
CELL_PARAMETERS angstrom
6.787 0.014 0.781
0.698 6.751 0.781
0.016 0.014 6.832
```

For the total energy, the calculation gives -27.56 eV/f.u. The energy relative to the elements is -0.0321 eV per atom.

***

Entry 8:
Crystalline Li2ZnIn2 at its relaxed geometry. Source: Alexandria, functional PBE-GGA. Values from VASP.

Geometry as Quantum ESPRESSO input:
```
&SYSTEM
  ibrav = 0, nat = 5, ntyp = 3
/
ATOMIC_SPECIES
Li 6.94 Li.upf
Zn 65.41 Zn.upf
In 114.82 In.upf
ATOMIC_POSITIONS crystal
Li 0.784 0.805 0.627
Li 0.216 0.195 0.373
Zn 0.000 0.000 0.000
In 0.579 0.620 0.222
In 0.421 0.380 0.778
CELL_PARAMETERS angstrom
3.145 0.000 0.982
1.610 5.021 0.371
-0.195 -0.660 6.150
```

For the total energy, the calculation gives -11.35 eV/f.u. The energy relative to the elements is -0.1550 eV per atom. The energy above the most stable polymorph in this dataset is 0.000 eV per atom.

***

The highest energy relative to the elements belongs to which entry? number 5

***

The highest energy relative to the elements belongs to which entry? number 5